# 1
Density functional theory data (PBE) for a geometry-optimized MnCr2CuPd structure.

Volume (A^3/atom): 18.1
E_form (meV/atom): 2050.3

abc: 4.491 4.491 4.485
angles: 90.00 90.00 90.00
Atoms (fractional coordinates):
Mn (0.000, 0.000, 0.000)
Cr (0.000, 0.500, 0.500)
Cr (0.500, 0.000, 0.500)
Cu (0.500, 0.500, 0.000)
Pd (0.000, 0.000, 0.500)

***

# 2
Density functional theory data (PBE) for a geometry-optimized MnCrCuPt structure.

Volume (A^3/atom): 13.8
E_form (meV/atom): -112.7

abc: 4.275 4.275 4.275
angles: 60.00 60.00 60.00
Atoms (fractional coordinates):
Mn (0.000, 0.000, 0.000)
Cr (0.250, 0.250, 0.250)
Cu (0.500, 0.500, 0.500)
Pt (0.750, 0.750, 0.750)

***

# 3
Density functional theory data (PBE) for a geometry-optimized RbMn2CrCu structure.

Volume (A^3/atom): 24.0
E_form (meV/atom): 2591.5

abc: 4.907 4.907 4.981
angles: 90.00 90.00 90.00
Atoms (fractional coordinates):
Rb (0.000, 0.000, 0.000)
Mn (0.000, 0.500, 0.000)
Mn (0.500, 0.000, 0.000)
Cr (0.000, 0.000, 0.500)
Cu (0.500, 0.500, 0.500)

***

# 4
Density functional theory data (PBE) for a geometry-optimized MnCrCuRh structure.

Volume (A^3/atom): 13.2
E_form (meV/atom): 55.3

abc: 4.210 4.210 4.210
angles: 60.00 60.00 60.00
Atoms (fractional coordinates):
Mn (0.000, 0.000, 0.000)
Cr (0.750, 0.750, 0.750)
Cu (0.250, 0.250, 0.250)
Rh (0.500, 0.500, 0.500)

***

# 5
Density functional theory data (PBE) for a geometry-optimized MnCr8Cu3S16 structure.

Volume (A^3/atom): 17.4
Total DFT energy (no corrections) (eV/atom): -6.5266

abc: 12.122 12.122 12.122
angles: 33.61 33.61 33.61
Atoms (fractional coordinates):
Mn (0.000, 0.000, 0.000)
Cr (0.186, 0.186, 0.186)
Cr (0.433, 0.433, 0.941)
Cr (0.433, 0.941, 0.433)
Cr (0.443, 0.936, 0.936)
Cr (0.690, 0.690, 0.690)
Cr (0.936, 0.443, 0.936)
Cr (0.936, 0.936, 0.443)
Cr (0.941, 0.433, 0.433)
Cu (0.375, 0.375, 0.375)
Cu (0.500, 0.500, 0.500)
Cu (0.875, 0.875, 0.875)
S (0.044, 0.575, 0.575)
S (0.068, 0.068, 0.068)
S (0.074, 0.074, 0.541)
S (0.074, 0.541, 0.074)
S (0.301, 0.301, 0.831)
S (0.301, 0.831, 0.301)
S (0.308, 0.308, 0.308)
S (0.337, 0.797, 0.797)
S (0.541, 0.074, 0.074)
S (0.566, 0.566, 0.566)
S (0.575, 0.044, 0.575)
S (0.575, 0.575, 0.044)
S (0.797, 0.337, 0.797)
S (0.797, 0.797, 0.337)
S (0.809, 0.809, 0.809)
S (0.831, 0.301, 0.301)

***

# 6
Density functional theory data (PBE) for a geometry-optimized MnCr8Cu3S16 structure.

Volume (A^3/atom): 17.4
Total DFT energy (no corrections) (eV/atom): -6.5260

abc: 7.003 7.003 9.909
angles: 90.00 90.00 90.00
Atoms (fractional coordinates):
Mn (0.000, 0.000, 0.000)
Cr (0.000, 0.251, 0.379)
Cr (0.000, 0.749, 0.379)
Cr (0.251, 0.000, 0.621)
Cr (0.257, 0.500, 0.126)
Cr (0.500, 0.257, 0.874)
Cr (0.500, 0.743, 0.874)
Cr (0.743, 0.500, 0.126)
Cr (0.749, 0.000, 0.621)
Cu (0.000, 0.500, 0.749)
Cu (0.500, 0.000, 0.251)
Cu (0.500, 0.500, 0.500)
S (0.000, 0.234, 0.618)
S (0.000, 0.270, 0.136)
S (0.000, 0.730, 0.136)
S (0.000, 0.766, 0.618)
S (0.234, 0.000, 0.382)
S (0.234, 0.500, 0.367)
S (0.265, 0.500, 0.883)
S (0.270, 0.000, 0.864)
S (0.500, 0.234, 0.633)
S (0.500, 0.265, 0.117)
S (0.500, 0.735, 0.117)
S (0.500, 0.766, 0.633)
S (0.730, 0.000, 0.864)
S (0.735, 0.500, 0.883)
S (0.766, 0.000, 0.382)
S (0.766, 0.500, 0.367)

***

# 7
Density functional theory data (PBE) for a geometry-optimized CrCuMo structure.

Volume (A^3/atom): 15.8
E_form (meV/atom): 913.5

abc: 4.060 4.060 4.060
angles: 60.00 60.00 60.00
Atoms (fractional coordinates):
Cr (0.000, 0.000, 0.000)
Cu (0.750, 0.750, 0.750)
Mo (0.250, 0.250, 0.250)

***

# 8
Density functional theory data (PBE) for a geometry-optimized CrCuMo structure.

Volume (A^3/atom): 13.4
E_form (meV/atom): 265.9

abc: 6.614 6.486 2.569
angles: 81.52 75.88 22.59
Atoms (fractional coordinates):
Cr (0.000, 0.000, 0.000)
Cu (0.342, 0.342, 0.658)
Mo (0.667, 0.667, 0.333)

***

# 9
Density functional theory data (PBE) for a geometry-optimized CrCu2Mo structure.

Volume (A^3/atom): 13.0
E_form (meV/atom): 249.3

abc: 4.843 4.843 4.843
angles: 137.18 137.18 62.15
Atoms (fractional coordinates):
Cr (0.000, 0.000, 0.000)
Cu (0.250, 0.750, 0.500)
Cu (0.750, 0.250, 0.500)
Mo (0.500, 0.500, 0.000)

***

# 10
Density functional theory data (PBE) for a geometry-optimized CrCu2Mo structure.

Volume (A^3/atom): 13.1
E_form (meV/atom): 204.1

abc: 2.556 2.556 8.328
angles: 90.00 90.00 105.74
Atoms (fractional coordinates):
Cr (0.000, 0.000, 0.000)
Cu (0.000, 0.000, 0.479)
Cu (0.500, 0.500, 0.241)
Mo (0.500, 0.500, 0.744)

***

# 11
Density functional theory data (PBE) for a geometry-optimized CrCu2Mo structure.

Volume (A^3/atom): 13.3
E_form (meV/atom): 325.1

abc: 4.624 4.624 4.624
angles: 132.26 132.26 69.82
Atoms (fractional coordinates):
Cr (0.000, 0.000, 0.000)
Cu (0.250, 0.750, 0.500)
Cu (0.500, 0.500, 0.000)
Mo (0.750, 0.250, 0.500)

***

# 12
Density functional theory data (PBE) for a geometry-optimized CrCu2Mo structure.

Volume (A^3/atom): 13.0
E_form (meV/atom): 295.7

abc: 4.899 4.899 2.510
angles: 94.58 94.58 119.37
Atoms (fractional coordinates):
Cr (0.000, 0.000, 0.000)
Cu (0.000, 0.500, 0.500)
Cu (0.500, 0.000, 0.500)
Mo (0.500, 0.500, 0.000)

***

DOS(E_F)? In order: 1.87; 0.50; 0.62; 1.09; 0.29; 0.34; 0.99; 0.95; 0.73; 0.81; 0.93; 1.14 states/eV/atom.